(1)
Crystalline Sm2PdPt3 at its relaxed geometry. Source: the Alexandria database, functional PBE. Values from VASP.

Output
- Space-group type: Ibam, No. 72
- Distance to the lowest polymorph of the same formula: 230 meV/atom
- Crystal system: orthorhombic
- Spin magnetization: 0.00 Bohr magnetons per cell

Cell and atoms, written as Quantum ESPRESSO input:
```
&SYSTEM
  ibrav = 0, nat = 12, ntyp = 3
/
ATOMIC_SPECIES
Sm 150.36 Sm.upf
Pd 106.42 Pd.upf
Pt 195.08 Pt.upf
CELL_PARAMETERS angstrom
7.9391 0.0000 0.0000
0.0000 8.3916 0.0000
-3.9695 -4.1958 4.2292
ATOMIC_POSITIONS angstrom
Sm 1.6213 0.0000 2.6933
Sm 5.5908 0.0000 1.5358
Sm -1.6213 4.1958 2.6933
Sm 2.3483 4.1958 1.5358
Pd 0.0000 4.1958 0.0000
Pd 0.0000 0.0000 0.0000
Pt 3.9695 2.0979 0.0000
Pt 3.9695 6.2937 0.0000
Pt 3.9695 -2.0979 2.6647
Pt 0.0000 2.0979 1.5644
Pt 0.0000 6.2937 1.5644
Pt 3.9695 2.0979 2.6647
```

***

(2)
Crystalline SmPd5Pt2 at its relaxed geometry. Source: the Alexandria database, functional PBE. Values from VASP.

Output
- Space-group type: Immm, No. 71
- Distance to the lowest polymorph of the same formula: 135 meV/atom
- Crystal system: orthorhombic
- Spin magnetization: 0.00 Bohr magnetons per cell

Cell and atoms, written as Quantum ESPRESSO input:
```
&SYSTEM
  ibrav = 0, nat = 8, ntyp = 3
/
ATOMIC_SPECIES
Sm 150.36 Sm.upf
Pd 106.42 Pd.upf
Pt 195.08 Pt.upf
CELL_PARAMETERS angstrom
3.8568 0.0000 0.0000
1.9284 6.2250 -0.3339
1.9284 1.5545 6.0370
ATOMIC_POSITIONS angstrom
Sm 0.0000 0.0000 0.0000
Pd 1.9284 3.8897 2.8516
Pd 3.8568 3.6124 0.8602
Pd 3.8568 4.1670 4.8429
Pd 3.8568 5.8722 2.5169
Pd 3.8568 1.9072 3.1862
Pt 5.7853 6.0521 4.4368
Pt 1.9284 1.7273 1.2663
```

***

(3)
Crystalline SmPd3Pt at its relaxed geometry. Source: the Alexandria database, functional PBE. Values from VASP.

Output
- Space-group type: C2/m, No. 12
- Distance to the lowest polymorph of the same formula: 0 meV/atom
- Crystal system: monoclinic
- Spin magnetization: 0.00 Bohr magnetons per cell

Cell and atoms, written as Quantum ESPRESSO input:
```
&SYSTEM
  ibrav = 0, nat = 10, ntyp = 3
/
ATOMIC_SPECIES
Sm 150.36 Sm.upf
Pd 106.42 Pd.upf
Pt 195.08 Pt.upf
CELL_PARAMETERS angstrom
-3.2330 -4.2661 -0.2119
3.2059 -2.3312 -2.0006
0.9688 -1.3010 7.9940
ATOMIC_POSITIONS angstrom
Sm -0.6592 -5.1574 4.9504
Sm 1.6010 -2.7408 0.8311
Pd -1.7313 -4.1446 2.0505
Pd 0.7157 -5.2374 2.3168
Pd 0.2261 -2.6609 3.4647
Pd 2.6731 -3.7537 3.7310
Pd 0.0000 0.0000 0.0000
Pd 1.5894 -4.4642 -2.1065
Pt -0.4529 -4.5567 -0.3455
Pt 1.3947 -3.3415 6.1270
```

***

(4)
Crystalline Sm2Pd15Pt2 at its relaxed geometry. Source: the Alexandria database, functional PBE. Values from VASP.

Output
- Space-group type: R-3m, No. 166
- Crystal system: trigonal
- Spin magnetization: 0.00 Bohr magnetons per cell

Cell and atoms, written as Quantum ESPRESSO input:
```
&SYSTEM
  ibrav = 0, nat = 19, ntyp = 3
/
ATOMIC_SPECIES
Sm 150.36 Sm.upf
Pd 106.42 Pd.upf
Pt 195.08 Pt.upf
CELL_PARAMETERS angstrom
6.9625 0.0209 0.0186
0.9240 6.9009 0.0186
0.9240 0.8109 6.8532
ATOMIC_POSITIONS angstrom
Sm 2.8990 2.5444 2.2672
Sm 5.9114 5.1883 4.6231
Pd 3.4812 0.0104 0.0093
Pd 0.4620 0.4055 3.4266
Pd 0.4620 3.4505 0.0093
Pd 0.9240 5.0580 2.0868
Pd 5.1352 2.1029 0.0186
Pd 2.7513 0.5719 4.7849
Pd 2.7513 4.8189 0.0186
Pd 5.1352 0.2599 2.0868
Pd 0.9240 2.6539 4.7849
Pd 2.3063 5.0188 4.4720
Pd 5.2755 4.6303 1.1113
Pd 5.2755 1.6357 4.4720
Pd 6.5041 2.7140 2.4183
Pd 3.5349 3.1025 5.7790
Pd 3.5349 6.0971 2.4183
Pt 0.8974 0.7877 0.7019
Pt 7.9130 6.9451 6.1885
```

***

(5)
Crystalline Sm2Pd6Pt at its relaxed geometry. Source: the Alexandria database, functional PBE. Values from VASP.

Output
- Space-group type: C2/m, No. 12
- Crystal system: monoclinic
- Spin magnetization: 0.00 Bohr magnetons per cell

Cell and atoms, written as Quantum ESPRESSO input:
```
&SYSTEM
  ibrav = 0, nat = 9, ntyp = 3
/
ATOMIC_SPECIES
Sm 150.36 Sm.upf
Pd 106.42 Pd.upf
Pt 195.08 Pt.upf
CELL_PARAMETERS angstrom
-0.8307 0.4303 4.0332
4.3075 -4.9627 1.4166
3.4720 5.1713 -1.9617
ATOMIC_POSITIONS angstrom
Sm 3.0381 3.9993 2.3241
Sm 3.9108 -3.3604 1.1640
Pd 5.8886 0.0519 1.2072
Pd 1.0603 0.5870 2.2808
Pd 4.4928 -1.4255 3.2025
Pd 3.1887 -0.6217 0.7231
Pd 2.4560 2.0644 0.2856
Pd 3.7602 1.2605 2.7650
Pt 1.7384 -2.2662 2.7249
```

***

(6)
Crystalline Sm3Pd2Pt3 at its relaxed geometry. Source: the Alexandria database, functional PBE. Values from VASP.

Output
- Space-group type: P6_3/mcm, No. 193
- Crystal system: hexagonal
- Spin magnetization: 0.00 Bohr magnetons per cell

Cell and atoms, written as Quantum ESPRESSO input:
```
&SYSTEM
  ibrav = 0, nat = 16, ntyp = 3
/
ATOMIC_SPECIES
Sm 150.36 Sm.upf
Pd 106.42 Pd.upf
Pt 195.08 Pt.upf
CELL_PARAMETERS angstrom
-3.3362 0.2492 -4.7049
-6.0211 -4.4404 4.0343
0.0274 8.4889 0.4303
ATOMIC_POSITIONS angstrom
Sm -4.3645 -1.1865 -2.2808
Sm -6.6420 2.9832 -0.4449
Sm -2.4937 2.8125 -3.3956
Sm -4.9928 -3.0047 1.6103
Sm -2.6879 1.3145 0.2047
Sm -0.8151 5.9256 -0.8790
Pd -1.9888 4.1791 1.6316
Pd -5.6730 -0.0061 0.4806
Pd -4.0049 -0.1307 2.8330
Pd -3.6569 4.3037 -0.7208
Pt -6.3378 -2.6417 -0.9587
Pt -4.6777 1.6564 -1.9081
Pt -2.4847 5.5946 -3.2545
Pt -3.0196 -1.5495 0.2881
Pt -4.6522 2.6413 1.6679
Pt -0.8241 3.1435 -1.0200
```

***

(7)
Crystalline Sm2Sn4PdPt3 at its relaxed geometry. Source: the Alexandria database, functional PBE. Values from VASP.

Output
- Space-group type: P-4m2, No. 115
- Crystal system: tetragonal
- Spin magnetization: 0.00 Bohr magnetons per cell

Cell and atoms, written as Quantum ESPRESSO input:
```
&SYSTEM
  ibrav = 0, nat = 10, ntyp = 4
/
ATOMIC_SPECIES
Sm 150.36 Sm.upf
Sn 118.71 Sn.upf
Pd 106.42 Pd.upf
Pt 195.08 Pt.upf
CELL_PARAMETERS angstrom
-3.6494 -0.6217 -2.6785
2.6821 0.1761 -3.6952
1.4276 -10.6562 0.5285
ATOMIC_POSITIONS angstrom
Sm -1.4499 -3.1086 -1.2005
Sm 2.3938 -7.7704 -1.4579
Sn -0.4836 -0.2228 -3.1868
Sn 0.0000 0.0000 0.0000
Sn -0.9281 -7.0031 -1.0074
Sn 1.8721 -3.8759 -1.6510
Pd 0.2302 -5.5509 -2.9226
Pt 0.7138 -5.3281 0.2642
Pt -0.5848 -9.5662 -0.8803
Pt 1.5287 -1.3128 -1.7781
```

***

(8)
Crystalline TbSmPdPt at its relaxed geometry. Source: the Alexandria database, functional PBE. Values from VASP.

Output
- Space-group type: F-43m, No. 216
- Distance to the lowest polymorph of the same formula: 65 meV/atom
- Crystal system: cubic
- Spin magnetization: 0.00 Bohr magnetons per cell

Cell and atoms, written as Quantum ESPRESSO input:
```
&SYSTEM
  ibrav = 0, nat = 4, ntyp = 4
/
ATOMIC_SPECIES
Pd 106.42 Pd.upf
Tb 158.93 Tb.upf
Sm 150.36 Sm.upf
Pt 195.08 Pt.upf
CELL_PARAMETERS angstrom
-3.6058 -3.1746 1.4300
-1.0661 -4.0119 -2.8095
1.1994 -4.5877 1.6246
ATOMIC_POSITIONS angstrom
Pd -0.8681 -2.9435 0.0613
Tb 0.0000 0.0000 0.0000
Sm -1.7362 -5.8871 0.1226
Pt -2.6043 -8.8306 0.1838
```

***

For reference, calculated formation energy by record: -0.723, -0.267, -0.626, -0.303, -0.636, -0.883, -0.815, -0.997 eV/atom.